No. 1
The following is a PBE calculation of crystalline CaPbCl2 at its relaxed geometry, from Alexandria.

Unit cell a=3.8367 b=3.8367 c=30.1301 alpha=90.00 beta=90.00 gamma=120.00
With the nearest neighbours (Å) after each atom.
Space group R-3m (No. 166, hexagonal axes)
Asymmetric unit:
Ca (0.0000, 0.0000, 0.0000) x3  2 Cl 2.56
Pb (0.0000, 0.0000, 0.5000) x3  6 Cl 3.31
Cl (0.0000, 0.0000, 0.0851) x6  1 Ca 2.56

Results
Its offset from the most stable computed form is 0.590 eV/atom. The value obtained for the total energy is -3.288 eV per atom.


No. 2
The following is a PBE calculation of crystalline CaPb2Cl at its relaxed geometry, from Alexandria.

Unit cell a=8.0981 b=8.1412 c=3.5134 alpha=90.00 beta=90.00 gamma=90.00
With the nearest neighbours (Å) after each atom.
Space group Cmmm (No. 65)
Asymmetric unit:
Ca (0.0000, 0.0000, 0.0000) x2  8 Pb 3.37, 2 Ca 3.51
Pb (0.2500, 0.2500, 0.5000) x4  4 Cl 3.37, 4 Ca 3.37, 2 Pb 3.51
Cl (0.0000, 0.5000, 0.0000) x2  8 Pb 3.37, 2 Cl 3.51

Results
Its offset from the most stable computed form is 0.409 eV/atom. The value obtained for the total energy is -3.270 eV per atom.


No. 3
The following is a PBE calculation of crystalline CaPbCl2 at its relaxed geometry, from Alexandria.

Unit cell a=7.1115 b=9.2995 c=4.0545 alpha=90.00 beta=122.68 gamma=90.00
With the nearest neighbours (Å) after each atom.
Space group C2/m (No. 12)
Asymmetric unit:
Ca (0.0000, 0.0000, 0.0000) x2  4 Cl 2.96
Pb (0.0000, 0.5000, 0.0000) x2  4 Cl 2.96
Cl (0.2500, 0.2500, 0.5000) x4  2 Pb 2.96, 2 Ca 2.96

Results
Its offset from the most stable computed form is 0.386 eV/atom. The value obtained for the total energy is -3.492 eV per atom.


No. 4
The following is a PBE calculation of crystalline CaPbCl2 at its relaxed geometry, from Alexandria.

Unit cell a=4.1777 b=4.1777 c=12.7325 alpha=90.00 beta=90.00 gamma=90.00
With the nearest neighbours (Å) after each atom.
Space group I-4m2 (No. 119)
Asymmetric unit:
Ca (0.0000, 0.0000, 0.0000) x2  4 Cl 2.95
Pb (0.0000, 0.5000, 0.2500) x2  4 Cl 2.95
Cl (0.0000, 0.0000, 0.5000) x2  4 Ca 2.95
Cl (0.0000, 0.5000, 0.7500) x2  4 Pb 2.95

Results
Its offset from the most stable computed form is 0.449 eV/atom. The value obtained for the total energy is -3.428 eV per atom.


No. 5
The following is a PBE calculation of crystalline Ca2PbCl at its relaxed geometry, from Alexandria.

Unit cell a=4.0099 b=4.8521 c=6.2643 alpha=90.00 beta=90.00 gamma=90.00
With the nearest neighbours (Å) after each atom.
Space group Pmm2 (No. 25)
Asymmetric unit:
Ca (0.0000, 0.0000, 0.0000) x1  2 Cl 3.11-3.16, 4 Pb 3.15
Ca (0.5000, 0.5000, 0.4966) x1  2 Pb 3.13, 4 Cl 3.15
Pb (0.5000, 0.5000, 0.9964) x1  6 Ca 3.13-3.15
Cl (0.0000, 0.0000, 0.4958) x1  6 Ca 3.11-3.16

Results
Its offset from the most stable computed form is 0.093 eV/atom. The value obtained for the total energy is -3.472 eV per atom.


No. 6
The following is a PBE calculation of crystalline CaPb2Cl at its relaxed geometry, from Alexandria.

Unit cell a=7.0805 b=4.0885 c=9.8497 alpha=90.00 beta=102.88 gamma=90.00
With the nearest neighbours (Å) after each atom.
Space group Cm (No. 8)
Asymmetric unit:
Ca (0.0000, 0.0000, 0.0000) x2  3 Cl 2.75
Pb (0.0240, 0.5000, 0.5395) x2  3 Pb 3.13
Pb (0.2574, 0.0000, 0.7543) x2  3 Pb 3.13, 3 Ca 3.34
Cl (0.2125, 0.5000, 0.1472) x2  3 Ca 2.75

Results
Its offset from the most stable computed form is 0.000 eV/atom. The value obtained for the total energy is -3.679 eV per atom.


The lowest offset from the most stable computed form belongs to which entry? number 6


Which formula does entry 5 have? Ca2PbCl